No. 1
! PBE MgUTcRh, relaxed; values from VASP
&SYSTEM
  ibrav = 0, nat = 16, ntyp = 4
/
ATOMIC_SPECIES
Mg 24.30 Mg.upf
U 238.03 U.upf
Tc 98.00 Tc.upf
Rh 102.91 Rh.upf
CELL_PARAMETERS angstrom
6.549 0.000 0.000
0.000 6.549 0.000
0.000 0.000 6.549
ATOMIC_POSITIONS crystal
Mg 0.000 0.000 0.000
Mg 0.000 0.500 0.500
Mg 0.500 0.000 0.500
Mg 0.500 0.500 0.000
U 0.000 0.000 0.500
U 0.000 0.500 0.000
U 0.500 0.000 0.000
U 0.500 0.500 0.500
Tc 0.250 0.250 0.250
Tc 0.250 0.750 0.750
Tc 0.750 0.250 0.750
Tc 0.750 0.750 0.250
Rh 0.250 0.250 0.750
Rh 0.250 0.750 0.250
Rh 0.750 0.250 0.250
Rh 0.750 0.750 0.750
! Density of states at the Fermi level ... 1.672 states/eV per atom
! Total moment ... 4.571 μB/cell
! Space-group type ... F-43m, No. 216
! ΔE_f ... -0.21 eV per atom

No. 2
! PBE Ba2GaI, relaxed; values from VASP
&SYSTEM
  ibrav = 0, nat = 12, ntyp = 3
/
ATOMIC_SPECIES
Ba 137.33 Ba.upf
Ga 69.72 Ga.upf
I 126.90 I.upf
CELL_PARAMETERS angstrom
4.698 0.000 0.000
-2.349 4.069 0.000
0.000 0.000 27.705
ATOMIC_POSITIONS crystal
Ba 0.000 0.000 0.242
Ba 0.000 0.000 0.758
Ba 0.333 0.667 0.424
Ba 0.333 0.667 0.909
Ba 0.667 0.333 0.091
Ba 0.667 0.333 0.576
Ga 0.000 0.000 0.500
Ga 0.333 0.667 0.167
Ga 0.667 0.333 0.833
I 0.000 0.000 0.000
I 0.333 0.667 0.667
I 0.667 0.333 0.333
! Density of states at the Fermi level ... 1.038 states/eV per atom
! Total moment ... 0.001 μB/cell
! Energy relative to the elements, uncorrected ... -809 meV per atom
! Space-group type ... R-3m, No. 166

No. 3
! PBE Ac2NdNpO8, relaxed; values from VASP
&SYSTEM
  ibrav = 0, nat = 12, ntyp = 4
/
ATOMIC_SPECIES
Ac 227.00 Ac.upf
Nd 144.24 Nd.upf
Np 237.00 Np.upf
O 16.00 O.upf
CELL_PARAMETERS angstrom
4.126 0.000 0.000
0.000 7.817 0.000
-0.529 0.000 5.766
ATOMIC_POSITIONS crystal
Ac 0.000 0.248 0.000
Ac 0.000 0.752 0.000
Nd 0.500 0.000 0.500
Np 0.500 0.500 0.500
O 0.006 0.000 0.253
O 0.077 0.500 0.297
O 0.457 0.288 0.721
O 0.457 0.712 0.721
O 0.543 0.288 0.279
O 0.543 0.712 0.279
O 0.923 0.500 0.703
O 0.994 0.000 0.747
! Total moment ... 0.000 μB/cell
! Energy relative to the elements, uncorrected ... -3113 meV per atom
! Space-group type ... P2/m, No. 10

No. 4
! PBE RbSbPd3, relaxed; values from VASP
&SYSTEM
  ibrav = 0, nat = 5, ntyp = 3
/
ATOMIC_SPECIES
Rb 85.47 Rb.upf
Sb 121.76 Sb.upf
Pd 106.42 Pd.upf
CELL_PARAMETERS angstrom
5.110 0.000 0.000
0.000 5.110 0.000
0.000 0.000 5.110
ATOMIC_POSITIONS crystal
Rb 0.000 0.000 0.000
Sb 0.500 0.500 0.500
Pd 0.000 0.000 0.500
Pd 0.000 0.500 0.000
Pd 0.500 0.000 0.000
! Density of states at the Fermi level ... 0.769 states/eV per atom
! Total moment ... 0.000 μB/cell
! Energy relative to the elements, uncorrected ... 1310 meV per atom
! Space-group type ... Pm-3m, No. 221